# PmAs2Pd2 (PBE-GGA, relaxed)
# E above lowest polymorph	0	kJ/mol of formula units
# formation energy from the elements	-415	kJ/mol of formula units
data_PmAs2Pd2
_chemical_formula_sum 'Pm2 As4 Pd4'
_space_group_name_H-M_alt 'P 4/n m m'
_space_group_IT_number 129
_cell_length_a 4.4310
_cell_length_b 4.4310
_cell_length_c 9.9419
_cell_angle_alpha 90.00
_cell_angle_beta 90.00
_cell_angle_gamma 90.00
loop_
_space_group_symop_operation_xyz
'x,y,z'
'-x,-y,-z'
'-y+1/2,x,z'
'y+1/2,-x,-z'
'-x+1/2,-y+1/2,z'
'x+1/2,y+1/2,-z'
'y,-x+1/2,z'
'-y,x+1/2,-z'
'x+1/2,-y,-z'
'-x+1/2,y,z'
'-y,-x,-z'
'y,x,z'
'-x,y+1/2,-z'
'x,-y+1/2,z'
'y+1/2,x+1/2,-z'
'-y+1/2,-x+1/2,z'
loop_
_atom_site_label
_atom_site_type_symbol
_atom_site_fract_x
_atom_site_fract_y
_atom_site_fract_z
_atom_site_occupancy
Pm1 Pm 0.2500 0.2500 0.2494 1
As1 As 0.2500 0.2500 0.6312 1
As2 As 0.2500 0.7500 0.0000 1
Pd1 Pd 0.2500 0.2500 0.8781 1
Pd2 Pd 0.2500 0.7500 0.5000 1